(1)
## Nd2TiCdO6 (PBE)

Data for a relaxed Nd2TiCdO6 crystal.

a = 5.201 Å, b = 5.409 Å, c = 5.409 Å
α = 90.00°, β = 90.00°, γ = 90.00°
Atoms (fractional coordinates):
Nd 0.995 0.500 0.000
Nd 0.995 0.000 0.500
Ti 0.596 0.000 0.000
Cd 0.542 0.500 0.500
O 0.735 0.234 0.234
O 0.735 0.234 0.766
O 0.135 0.500 0.500
O 0.242 0.000 0.000
O 0.735 0.766 0.766
O 0.735 0.766 0.234

Summary:
The energy is -75.21 eV/cell. Its space-group type is P4mm, No. 99. As for the uncorrected formation energy: -2.7112 eV per atom.

(2)
## NdUCdO6 (PBE)

Data for a relaxed NdUCdO6 crystal.

a = 4.576 Å, b = 5.961 Å, c = 5.961 Å
α = 120.00°, β = 90.00°, γ = 90.00°
Each line ends with the local moment (μB).
Atoms (fractional coordinates):
Nd 0.500 0.667 0.333  0.00
U 0.500 0.000 0.000  -0.01
Cd 0.000 0.333 0.667  0.01
O 0.733 0.699 0.702  0.11
O 0.733 0.298 0.997  0.11
O 0.733 0.003 0.301  0.11
O 0.267 0.298 0.301  0.11
O 0.267 0.699 0.997  0.11
O 0.267 0.003 0.702  0.11

Summary:
The energy is -68.08 eV/cell. Its space-group type is P312, No. 149. As for the uncorrected formation energy: -2.3731 eV per atom.